Record 1
Here is a relaxed Tm2CuAu crystal from Alexandria. Energies are from PBE.

The excess energy over the best structure of this formula in the dataset is 0 meV per atom.

The structure belongs to space group P4/mmm (No. 123); the cell edges are 4.9576, 4.9576 and 3.4728 Å and the angles 90.00°, 90.00° and 90.00°. The distinct sites, in fractional coordinates, are Tm at (0.0000, 0.5000, 0.0000), Cu at (0.0000, 0.0000, 0.5000) and Au at (0.5000, 0.5000, 0.5000).

Record 2
Here is a relaxed LiCd2Pd crystal from Alexandria. Energies are from PBE.

The excess energy over the best structure of this formula in the dataset is 84 meV per atom.

The structure belongs to space group F-43m (No. 216); the cell edges are 6.5633, 6.5633 and 6.5633 Å and the angles 90.00°, 90.00° and 90.00°. The distinct sites, in fractional coordinates, are Li at (0.0000, 0.0000, 0.0000), Cd at (0.0000, 0.0000, 0.5000), Cd at (0.2500, 0.2500, 0.2500) and Pd at (0.2500, 0.2500, 0.7500).

Record 3
Here is a relaxed TcSnPd3 crystal from Alexandria. Energies are from PBE.

The excess energy over the best structure of this formula in the dataset is 0 meV per atom.

The structure belongs to space group Pm-3m (No. 221); the cell edges are 4.8169, 4.8169 and 4.8169 Å and the angles 90.00°, 90.00° and 90.00°. The distinct sites, in fractional coordinates, are Tc at (0.0000, 0.0000, 0.0000), Sn at (0.5000, 0.5000, 0.5000) and Pd at (0.0000, 0.0000, 0.5000).

Record 4
Here is a relaxed SrBi2Pd4 crystal from Alexandria. Energies are from PBE.

The excess energy over the best structure of this formula in the dataset is 6 meV per atom.

The structure belongs to space group Pnma (No. 62); the cell edges are 19.5949, 4.9441 and 6.3599 Å and the angles 90.00°, 90.00° and 90.00°. The distinct sites, in fractional coordinates, are Sr at (0.1315, 0.2500, 0.0774), Bi at (0.0318, 0.7500, 0.6782), Bi at (0.2376, 0.2500, 0.6219), Pd at (0.0180, 0.7500, 0.1235), Pd at (0.0978, 0.2500, 0.5797), Pd at (0.1410, 0.7500, 0.3656) and Pd at (0.1824, 0.7500, 0.7689).

Record 5
Here is a relaxed CuAg3Mo crystal from Alexandria. Energies are from PBE.

The excess energy over the best structure of this formula in the dataset is 0 meV per atom.

The structure belongs to space group Pm-3m (No. 221); the cell edges are 4.7483, 4.7483 and 4.7483 Å and the angles 90.00°, 90.00° and 90.00°. The distinct sites, in fractional coordinates, are Cu at (0.0000, 0.0000, 0.0000), Ag at (0.0000, 0.0000, 0.5000) and Mo at (0.5000, 0.5000, 0.5000).

Record 6
Here is a relaxed SrAl8ZnAg2 crystal from Alexandria. Energies are from PBE.

The structure belongs to space group C2/m (No. 12); the cell edges are 8.5389, 5.5016 and 10.2144 Å and the angles 90.00°, 93.32° and 90.00°. The distinct sites, in fractional coordinates, are Sr at (0.0000, 0.0000, 0.0000), Al at (0.0912, 0.2500, 0.3081), Al at (0.1549, 0.5000, 0.0951), Al at (0.1646, 0.5000, 0.5383), Zn at (0.0000, 0.0000, 0.5000) and Ag at (0.1652, 0.5000, 0.8210).

Record 7
Here is a relaxed AcHoTh2As4 crystal from Alexandria. Energies are from PBE.

The structure belongs to space group P2/m (No. 10); the cell edges are 7.4278, 4.2940 and 7.4388 Å and the angles 90.00°, 109.50° and 90.00°. The distinct sites, in fractional coordinates, are Ac at (0.0000, 0.0000, 0.0000), Ho at (0.0000, 0.5000, 0.5000), Th at (0.5000, 0.0000, 0.5000), Th at (0.5000, 0.5000, 0.0000), As at (0.2511, 0.0000, 0.7403) and As at (0.2595, 0.5000, 0.2636).

| no. | size of the total moment (μB per formula unit) | E (eV per atom) | energy relative to the elements (meV per atom) |
| --- | --- | --- | --- |
| 1 | 0.00 | -4.667 | -588 |
| 2 | 0.00 | -2.552 | -318 |
| 3 | 0.00 | -5.059 | 931 |
| 4 | 0.00 | -4.755 | -438 |
| 5 | 4.09 | -3.535 | 1161 |
| 6 | 0.00 | -3.166 | 51 |
| 7 | 0.00 | -6.680 | -1415 |